#A
A plane-wave DFT calculation with GGA-PBEsol was carried out for KLiTl after structural relaxation.

The structure in extended XYZ format:
```
3
Lattice="5.270 0.000 0.000 2.635 4.564 0.000 2.635 1.521 4.303" Properties=species:S:1:pos:R:3 pbc="T T T"
K 5.270 3.043 2.151
Li 2.635 1.521 1.076
Tl 0.000 0.000 0.000
```

## Properties
Symmetry: No. 216



#B
A plane-wave DFT calculation with GGA-PBEsol was carried out for KLiTl after structural relaxation.

The structure in extended XYZ format:
```
3
Lattice="3.581 0.000 0.000 0.000 4.077 0.000 -1.791 -2.039 6.336" Properties=species:S:1:pos:R:3 pbc="T T T"
Tl 0.000 0.000 3.689
K 1.791 2.039 6.253
Li 1.791 2.039 2.731
```

## Properties
Symmetry: No. 44



#B is the most stable structure; the next one sits 23.0 kJ/mol of atoms above it.